The following is a PBE-GGA calculation of a geometry-optimized SrLaSi2 structure, from Alexandria.

Lattice parameters (Å, degrees): 8.8492 8.8492 8.8492 26.42 26.42 26.42
With the nearest neighbours (Å) after each atom.
Positions (direct):
Sr 0.0000 0.0000 0.0000  6 Si 3.21
La 0.5000 0.5000 0.5000  6 Si 3.12
Si 0.2475 0.2475 0.2475  3 La 3.12, 3 Sr 3.21
Si 0.7525 0.7525 0.7525  3 La 3.12, 3 Sr 3.21

Output
Distance to the lowest polymorph of the same formula, eV per atom: 0.494
Space group: No. 166
Total moment, Bohr magnetons per cell: 0.0
Energy, eV/cell: -17.8